# Hg4I7 (PBEsol, optimized geometry)
# Total magnetization, μB/f.u.: 0.000
# Crystal system: tetragonal
# Energy relative to the elements, uncorrected, eV/atom: -0.1622
# E, eV per atom: -1.493
# Space group: P-4m2 (115)
# N(E_F), states/eV/cell: 3.9
data_Hg4I7
_cell_length_a 6.105
_cell_length_b 9.200
_cell_length_c 9.200
_cell_angle_alpha 90.00
_cell_angle_beta 90.00
_cell_angle_gamma 90.00
_symmetry_space_group_name_H-M 'P 1'
_symmetry_Int_Tables_number 1
loop_
_symmetry_equiv_pos_as_xyz
'x,y,z'
loop_
_atom_site_label
_atom_site_type_symbol
_atom_site_fract_x
_atom_site_fract_y
_atom_site_fract_z
I1 I 0.441 0.500 0.000
I2 I 0.000 0.738 0.738
I3 I 0.000 0.262 0.262
I4 I 0.500 0.000 0.000
I5 I 0.559 0.000 0.500
I6 I 0.000 0.738 0.262
I7 I 0.000 0.262 0.738
Hg1 Hg 0.762 0.722 0.000
Hg2 Hg 0.238 0.000 0.278
Hg3 Hg 0.762 0.278 0.000
Hg4 Hg 0.238 0.000 0.722

# InHgI2 (PBEsol, optimized geometry)
# Total magnetization, μB/f.u.: 0.000
# Crystal system: cubic
# Energy relative to the elements, uncorrected, eV/atom: -0.1764
# E, eV per atom: -1.947
# Space group: Fm-3m (225)
# N(E_F), states/eV/cell: 2.1
data_InHgI2
_cell_length_a 5.573
_cell_length_b 5.573
_cell_length_c 5.573
_cell_angle_alpha 60.00
_cell_angle_beta 60.00
_cell_angle_gamma 60.00
_symmetry_space_group_name_H-M 'P 1'
_symmetry_Int_Tables_number 1
loop_
_symmetry_equiv_pos_as_xyz
'x,y,z'
loop_
_atom_site_label
_atom_site_type_symbol
_atom_site_fract_x
_atom_site_fract_y
_atom_site_fract_z
I1 I 0.750 0.750 0.750
I2 I 0.250 0.250 0.250
In1 In 0.000 0.000 0.000
Hg1 Hg 0.500 0.500 0.500

# InHg2I (PBEsol, optimized geometry)
# Total magnetization, μB/f.u.: 0.000
# Crystal system: tetragonal
# Energy relative to the elements, uncorrected, eV/atom: -0.1365
# E, eV per atom: -1.607
# Space group: I-42d (122)
# N(E_F), states/eV/cell: 2.1
data_InHg2I
_cell_length_a 6.456
_cell_length_b 6.857
_cell_length_c 6.857
_cell_angle_alpha 77.19
_cell_angle_beta 61.91
_cell_angle_gamma 61.91
_symmetry_space_group_name_H-M 'P 1'
_symmetry_Int_Tables_number 1
loop_
_symmetry_equiv_pos_as_xyz
'x,y,z'
loop_
_atom_site_label
_atom_site_type_symbol
_atom_site_fract_x
_atom_site_fract_y
_atom_site_fract_z
Hg1 Hg 0.375 0.472 0.028
Hg2 Hg 0.875 0.528 0.972
Hg3 Hg 0.153 0.972 0.472
Hg4 Hg 0.597 0.028 0.528
In1 In 0.250 0.500 0.500
In2 In 0.500 0.000 0.000
I1 I 0.000 0.000 0.000
I2 I 0.750 0.500 0.500

# InHg2I (PBEsol, optimized geometry)
# Total magnetization, μB/f.u.: 0.000
# Crystal system: cubic
# Energy relative to the elements, uncorrected, eV/atom: -0.0312
# E, eV per atom: -1.502
# Space group: Fm-3m (225)
# N(E_F), states/eV/cell: 0.5
data_InHg2I
_cell_length_a 5.511
_cell_length_b 5.511
_cell_length_c 5.511
_cell_angle_alpha 60.00
_cell_angle_beta 60.00
_cell_angle_gamma 60.00
_symmetry_space_group_name_H-M 'P 1'
_symmetry_Int_Tables_number 1
loop_
_symmetry_equiv_pos_as_xyz
'x,y,z'
loop_
_atom_site_label
_atom_site_type_symbol
_atom_site_fract_x
_atom_site_fract_y
_atom_site_fract_z
In1 In 0.000 0.000 0.000
Hg1 Hg 0.250 0.250 0.250
Hg2 Hg 0.750 0.750 0.750
I1 I 0.500 0.500 0.500